No. 1
DFT (GGA-PBE) results for an optimized crystal structure of LiSiRu2.

Values from the calculation:
calculated density: 7.7 g cm⁻³
formation energy (no corrections): -0.21 eV per atom
crystal system: monoclinic

Structure (CIF):
```
data_LiSiRu2
_chemical_formula_sum 'Li2 Si2 Ru4'
_cell_length_a 9.0917
_cell_length_b 2.8628
_cell_length_c 4.1419
_cell_angle_alpha 90.00
_cell_angle_beta 109.06
_cell_angle_gamma 90.00
_space_group_name_H-M_alt 'P 1'
_space_group_IT_number 1
_space_group_name_Hall 'P 1'
loop_
_atom_site_label
_atom_site_fract_x
_atom_site_fract_y
_atom_site_fract_z
_atom_site_occupancy
Li1 0.0000 0.0000 0.0000 1
Li2 0.5000 0.5000 0.0000 1
Si1 0.2567 0.5000 0.3070 1
Si2 0.7567 0.0000 0.3070 1
Ru1 0.2440 0.0000 0.8032 1
Ru2 0.4952 0.0000 0.4900 1
Ru3 0.7440 0.5000 0.8032 1
Ru4 0.9952 0.5000 0.4900 1
```

No. 2
DFT (GGA-PBE) results for an optimized crystal structure of PrHo2MnN4.

Values from the calculation:
calculated density: 8.6 g cm⁻³
formation energy (no corrections): -1.20 eV per atom
crystal system: orthorhombic

Structure (CIF):
```
data_PrHo2MnN4
_chemical_formula_sum 'Pr2 Ho4 Mn2 N8'
_cell_length_a 5.9984
_cell_length_b 5.9984
_cell_length_c 11.5033
_cell_angle_alpha 90.00
_cell_angle_beta 90.00
_cell_angle_gamma 146.98
_space_group_name_H-M_alt 'P 1'
_space_group_IT_number 1
_space_group_name_Hall 'P 1'
loop_
_atom_site_label
_atom_site_fract_x
_atom_site_fract_y
_atom_site_fract_z
_atom_site_occupancy
Pr1 0.0956 0.9044 0.7500 1
Pr2 0.9044 0.0956 0.2500 1
Ho1 0.3687 0.6313 0.5445 1
Ho2 0.3687 0.6313 0.9555 1
Ho3 0.6313 0.3687 0.0445 1
Ho4 0.6313 0.3687 0.4555 1
Mn1 0.1672 0.8328 0.2500 1
Mn2 0.8328 0.1672 0.7500 1
N1 0.0000 0.0000 0.0000 1
N2 0.0000 0.0000 0.5000 1
N3 0.2647 0.7353 0.1269 1
N4 0.2647 0.7353 0.3731 1
N5 0.4169 0.5831 0.7500 1
N6 0.5831 0.4169 0.2500 1
N7 0.7353 0.2647 0.6269 1
N8 0.7353 0.2647 0.8731 1
```

No. 3
DFT (GGA-PBE) results for an optimized crystal structure of Ni2Pd15Pt2.

Values from the calculation:
E_form: 0.31 eV per atom
calculated density: 11.1 g cm⁻³
crystal system: trigonal

Structure (CIF):
```
data_Ni2Pd15Pt2
_chemical_formula_sum 'Ni2 Pd15 Pt2'
_cell_length_a 6.9042
_cell_length_b 6.9042
_cell_length_c 6.9042
_cell_angle_alpha 80.09
_cell_angle_beta 80.09
_cell_angle_gamma 80.09
_space_group_name_H-M_alt 'P 1'
_space_group_IT_number 1
_space_group_name_Hall 'P 1'
loop_
_atom_site_label
_atom_site_fract_x
_atom_site_fract_y
_atom_site_fract_z
_atom_site_occupancy
Ni1 0.0844 0.0844 0.0844 1
Ni2 0.9156 0.9156 0.9156 1
Pd1 0.0000 0.0000 0.5000 1
Pd2 0.0000 0.3309 0.6691 1
Pd3 0.0000 0.5000 0.0000 1
Pd4 0.0000 0.6691 0.3309 1
Pd5 0.1657 0.6649 0.6649 1
Pd6 0.3309 0.0000 0.6691 1
Pd7 0.3309 0.6691 0.0000 1
Pd8 0.3351 0.3351 0.8343 1
Pd9 0.3351 0.8343 0.3351 1
Pd10 0.5000 0.0000 0.0000 1
Pd11 0.6649 0.1657 0.6649 1
Pd12 0.6649 0.6649 0.1657 1
Pd13 0.6691 0.0000 0.3309 1
Pd14 0.6691 0.3309 0.0000 1
Pd15 0.8343 0.3351 0.3351 1
Pt1 0.2713 0.2713 0.2713 1
Pt2 0.7287 0.7287 0.7287 1
```